# 1
PBE-GGA Na3SmSe4O12, relaxed; D(E_F) = 8.49 states/eV/cell; magnetization = 0.00 Bohr magnetons per cell; formation energy (no corrections) = -1.0452 eV per atom; SG = No. 155
1.0
7.146 -0.162 -0.224
-1.879 6.897 -0.224
-1.879 -2.402 6.469
Na Sm Se O
3 1 4 12
direct
0.561 0.439 0.000
0.439 0.000 0.561
0.000 0.561 0.439
0.000 0.000 0.000
0.923 0.077 0.500
0.077 0.500 0.923
0.500 0.923 0.077
0.500 0.500 0.500
0.500 0.357 0.643
0.930 0.500 0.070
0.070 0.930 0.500
0.500 0.070 0.930
0.335 0.015 0.206
0.206 0.335 0.015
0.015 0.206 0.335
0.665 0.794 0.985
0.985 0.665 0.794
0.794 0.985 0.665
0.643 0.500 0.357
0.357 0.643 0.500

# 2
PBE-GGA AgSn, relaxed; D(E_F) = 5.24 states/eV/cell; magnetization = 0.00 Bohr magnetons per cell; formation energy = 0.05 eV/atom; SG = No. 87
1.0
10.896 0.000 0.000
0.000 10.896 0.000
0.000 0.000 3.120
Ag Sn
8 8
direct
0.371 0.091 0.000
0.629 0.909 0.000
0.909 0.371 0.000
0.091 0.629 0.000
0.871 0.591 0.500
0.129 0.409 0.500
0.409 0.871 0.500
0.591 0.129 0.500
0.177 0.890 0.000
0.823 0.110 0.000
0.110 0.177 0.000
0.890 0.823 0.000
0.677 0.390 0.500
0.323 0.610 0.500
0.610 0.677 0.500
0.390 0.323 0.500

# 3
PBE-GGA PmMg3Zn2, relaxed; D(E_F) = 8.10 states/eV/cell; magnetization = 0.00 Bohr magnetons per cell; formation energy = -0.17 eV/atom; SG = No. 12
1.0
4.556 0.000 0.000
-2.278 8.238 -0.038
0.000 -3.751 7.123
Pm Mg Zn
2 6 4
direct
0.859 0.719 0.937
0.141 0.281 0.063
0.310 0.620 0.544
0.951 0.902 0.621
0.609 0.218 0.719
0.391 0.782 0.281
0.049 0.098 0.379
0.690 0.380 0.456
0.480 0.960 0.837
0.520 0.040 0.163
0.787 0.574 0.252
0.213 0.426 0.748

# 4
PBE-GGA LiGaReMo, relaxed; D(E_F) = 3.42 states/eV/cell; magnetization = 0.00 Bohr magnetons per cell; formation energy = -0.03 eV/atom; SG = No. 216
1.0
4.333 0.000 0.000
2.166 3.752 0.000
2.166 1.251 3.538
Re Mo Ga Li
1 1 1 1
direct
0.500 0.500 0.500
0.250 0.250 0.250
0.750 0.750 0.750
0.000 0.000 0.000

# 5
PBE-GGA Mg4CuAu7, relaxed; D(E_F) = 4.44 states/eV/cell; magnetization = 0.00 Bohr magnetons per cell; formation energy = -0.32 eV/atom; SG = No. 12
1.0
-3.574 3.058 -1.582
-4.152 -4.358 -6.828
-5.305 -0.923 2.417
Mg Cu Au
4 1 7
direct
0.591 0.225 0.593
0.409 0.775 0.407
0.762 0.664 0.813
0.238 0.336 0.187
0.000 0.000 0.000
0.793 0.916 0.498
0.207 0.084 0.502
0.076 0.693 0.154
0.924 0.307 0.846
0.365 0.522 0.748
0.500 0.000 0.000
0.635 0.478 0.252

# 6
PBE-GGA CaAgBr2, relaxed; offset from the most stable computed form = 0.435 eV/atom; D(E_F) = 3.16 states/eV/cell; magnetization = 0.77 Bohr magnetons per cell; formation energy (no corrections) = -0.6249 eV per atom; SG = No. 216
1.0
5.323 0.000 0.000
2.662 4.610 0.000
2.662 1.537 4.346
Ca Br Ag
1 2 1
direct
0.750 0.750 0.750
0.000 0.000 0.000
0.250 0.250 0.250
0.500 0.500 0.500

What did the fourth record say?
PBE-GGA LiGaReMo, relaxed; D(E_F) = 3.42 states/eV/cell; magnetization = 0.00 Bohr magnetons per cell; formation energy = -0.03 eV/atom; SG = No. 216
1.0
4.333 0.000 0.000
2.166 3.752 0.000
2.166 1.251 3.538
Re Mo Ga Li
1 1 1 1
direct
0.500 0.500 0.500
0.250 0.250 0.250
0.750 0.750 0.750
0.000 0.000 0.000